Record 1
Entry from Alexandria: an optimized crystal structure of CeNbO4 (PBE).

a = 6.7542 Å, b = 6.7542 Å, c = 5.2050 Å
α = 69.76°, β = 69.76°, γ = 115.45°
Last column: nearest neighbours and their distance in Å.
Element x y z (fractional)
1 Nb 0.8998 0.1002 0.7500  4 O 1.90-1.97
2 Nb 0.1002 0.8998 0.2500  4 O 1.90-1.97
3 O 0.7267 0.7908 0.2041  1 Nb 1.97
4 O 0.9437 0.3577 0.8452  1 Nb 1.90
5 O 0.6423 0.0563 0.6548  1 Nb 1.90
6 O 0.2733 0.2092 0.7959  1 Nb 1.97
7 O 0.3577 0.9437 0.3452  1 Nb 1.90
8 O 0.7908 0.7267 0.7041  1 Nb 1.97
9 O 0.0563 0.6423 0.1548  1 Nb 1.90
10 O 0.2092 0.2733 0.2959  1 Nb 1.97
11 Ce 0.6307 0.3693 0.2500  8 O 2.40-2.53
12 Ce 0.3693 0.6307 0.7500  8 O 2.40-2.53

Results
crystal system	monoclinic
SG	No. 15
raw total energy	-8.98	eV/atom

---

Record 2
Entry from Alexandria: an optimized crystal structure of Pr4Dy10Y (PBE).

a = 7.7744 Å, b = 9.5056 Å, c = 9.5056 Å
α = 80.37°, β = 65.86°, γ = 65.86°
Last column: nearest neighbours and their distance in Å.
Element x y z (fractional)
1 Y 0.0000 0.0000 0.0000  8 Dy 3.34
2 Dy 0.3469 0.7023 0.1005  1 Y 3.34, 3 Pr 3.36
3 Dy 0.6531 0.2977 0.8995  1 Y 3.34, 3 Pr 3.36
4 Dy 0.9508 0.8995 0.7023  1 Y 3.34, 3 Pr 3.36
5 Dy 0.2500 0.5000 0.5000  4 Pr 3.38
6 Dy 0.8502 0.7023 0.1005  1 Y 3.34, 3 Pr 3.36
7 Dy 0.5525 0.1005 0.2977  1 Y 3.34, 3 Pr 3.36
8 Dy 0.1498 0.2977 0.8995  1 Y 3.34, 3 Pr 3.36
9 Dy 0.7500 0.5000 0.5000  4 Pr 3.38
10 Dy 0.0492 0.1005 0.2977  1 Y 3.34, 3 Pr 3.36
11 Dy 0.4475 0.8995 0.7023  1 Y 3.34, 3 Pr 3.36
12 Pr 0.2011 0.3999 0.1980  8 Dy 3.36-3.38
13 Pr 0.6010 0.1980 0.6001  8 Dy 3.36-3.38
14 Pr 0.7989 0.6001 0.8020  8 Dy 3.36-3.38
15 Pr 0.3990 0.8020 0.3999  8 Dy 3.36-3.38

Results
energy relative to the elements	0.77	eV per atom
crystal system	tetragonal
SG	No. 87

---

Record 3
Entry from Alexandria: an optimized crystal structure of MnMoP (PBE).

a = 5.0960 Å, b = 5.0960 Å, c = 2.8196 Å
α = 73.94°, β = 73.94°, γ = 32.12°
Last column: nearest neighbours and their distance in Å.
Element x y z (fractional)
1 Mn 0.0244 0.0244 0.9756  4 P 2.29
2 P 0.6453 0.6453 0.3547  4 Mn 2.29
3 Mo 0.3303 0.3303 0.6697  5 P 2.64-2.95, 5 Mn 2.70-2.87, 4 Mo 2.82

Results
energy relative to the elements	-0.27	eV per atom
crystal system	tetragonal
SG	No. 107